Crystalline GeWO3 at its relaxed geometry. Source: Alexandria, functional GGA-PBEsol.

Properties
Raw formation energy, kJ per mole of atoms: -11
D(E_F), states/eV/f.u.: 2.4
Density, g/cm³: 9.424
Magnetization, μB per atom: 0.75

Lattice parameters (Å, degrees): 3.772 3.772 3.772 90.00 90.00 90.00
Each line ends with the local moment (μB).
Fractional positions:
1 Ge 0.000 0.000 0.000  0.01
2 O 0.500 0.000 0.000  0.03
3 O 0.000 0.000 0.500  0.03
4 O 0.000 0.500 0.000  0.03
5 W 0.500 0.500 0.500  2.97